Entry 1:
## PaTcP2Rh (PBE)

Data for a relaxed PaTcP2Rh crystal.

Lattice parameters (Å, degrees): 4.0403 4.0403 9.7744 90.00 90.00 90.00
With the nearest neighbours (Å) after each atom.
Space group I-4m2 (No. 119)
Unique sites:
Pa1 0.0000 0.0000 0.0000 [2 per cell]  8 P 3.08, 4 Tc 3.17, 4 Rh 3.17
Tc1 0.0000 0.5000 0.7500 [2 per cell]  4 P 2.40
P1 0.0000 0.0000 0.3819 [4 per cell]  1 P 2.31, 2 Tc 2.40, 2 Rh 2.40
Rh1 0.0000 0.5000 0.2500 [2 per cell]  4 P 2.40

Results
DOS(E_F) ... 4.2 states/eV/f.u.
Energy of formation from the pure elements ... -0.91 eV/atom


Entry 2:
## Pm2Pr8Sc (PBE)

Data for a relaxed Pm2Pr8Sc crystal.

Lattice parameters (Å, degrees): 5.8121 8.0944 16.4914 90.00 90.00 90.00
With the nearest neighbours (Å) after each atom.
Space group Immm (No. 71)
Unique sites:
Pm1 0.0000 0.0000 0.2002 [4 per cell]  10 Pr 3.56-3.75
Pr1 0.0000 0.2194 0.0000 [4 per cell]  7 Pr 3.55-3.61, 2 Sc 3.69, 2 Pm 3.75
Pr2 0.0000 0.2910 0.3702 [8 per cell]  1 Sc 3.18, 1 Pr 3.38, 2 Pm 3.56
Pr3 0.0000 0.5000 0.1656 [4 per cell]  8 Pr 3.55-3.79, 2 Pm 3.65
Sc1 0.0000 0.0000 0.5000 [2 per cell]  4 Pr 3.18

Results
DOS(E_F) ... 17.3 states/eV/f.u.
Energy of formation from the pure elements ... 0.11 eV/atom


Entry 3:
## YCoMo (PBE)

Data for a relaxed YCoMo crystal.

Lattice parameters (Å, degrees): 3.1085 3.1085 11.2442 90.00 90.00 90.00
With the nearest neighbours (Å) after each atom.
Space group I4mm (No. 107)
Unique sites:
Y1 0.0000 0.0000 0.0000 [2 per cell]  4 Y 3.11, 5 Co 3.12-3.41, 5 Mo 3.18-3.33
Co1 0.0000 0.0000 0.3037 [2 per cell]  4 Mo 2.47
Mo1 0.0000 0.0000 0.7039 [2 per cell]  4 Co 2.47

Results
DOS(E_F) ... 3.6 states/eV/f.u.
Energy of formation from the pure elements ... 0.18 eV/atom


Entry 4:
## Ga2Fe2Pb (PBE)

Data for a relaxed Ga2Fe2Pb crystal.

Lattice parameters (Å, degrees): 3.7404 3.7404 12.7896 90.00 90.00 90.00
With the nearest neighbours (Å) after each atom.
Space group I4/mmm (No. 139)
Unique sites:
Ga1 0.0000 0.0000 0.1200 [4 per cell]  4 Fe 2.50
Fe1 0.0000 0.5000 0.2500 [4 per cell]  4 Ga 2.50, 4 Fe 2.64
Pb1 0.0000 0.0000 0.5000 [2 per cell]  8 Ga 3.06

Results
DOS(E_F) ... 3.3 states/eV/f.u.
Energy of formation from the pure elements ... 0.26 eV/atom


Question: Which value of DOS(E_F) does entry 2 give?
Answer: 17.3 states/eV/f.u.


Question: The lowest energy of formation from the pure elements belongs to which entry?
Answer: PaTcP2Rh


Question: What is the formula in the third record?
Answer: YCoMo


What did the fourth record say?
## Ga2Fe2Pb (PBE)

Data for a relaxed Ga2Fe2Pb crystal.

Lattice parameters (Å, degrees): 3.7404 3.7404 12.7896 90.00 90.00 90.00
With the nearest neighbours (Å) after each atom.
Space group I4/mmm (No. 139)
Unique sites:
Ga1 0.0000 0.0000 0.1200 [4 per cell]  4 Fe 2.50
Fe1 0.0000 0.5000 0.2500 [4 per cell]  4 Ga 2.50, 4 Fe 2.64
Pb1 0.0000 0.0000 0.5000 [2 per cell]  8 Ga 3.06

Results
DOS(E_F) ... 3.3 states/eV/f.u.
Energy of formation from the pure elements ... 0.26 eV/atom